# 1
Computed, not measured: crystalline KScAuCl6 at its relaxed geometry at the PBE-GGA level of DFT.

**Formation energy from raw total energies**: -1.430 eV per atom
**D(E_F)**: 0.52 states/eV/f.u.

Cell and atoms, written as extended XYZ:
```
9
Lattice="6.613 0.000 0.000 -2.659 6.056 0.000 -0.372 -0.563 6.890" Properties=species:S:1:pos:R:3 pbc="T T T"
K 0.000 0.000 0.000
Sc 3.272 1.779 3.442
Au 0.043 3.890 3.444
Cl 1.971 -0.123 4.642
Cl 1.184 2.265 1.972
Cl 1.991 3.495 4.915
Cl 3.978 0.263 1.737
Cl 4.949 1.736 5.143
Cl 4.490 3.736 2.245
```


# 2
Computed, not measured: crystalline KSc2AuCl at its relaxed geometry at the PBE-GGA level of DFT.

**Formation energy from raw total energies**: -0.013 eV per atom
**D(E_F)**: 4.93 states/eV/f.u.

Cell and atoms, written as extended XYZ:
```
5
Lattice="4.867 0.000 0.000 0.000 4.867 0.000 0.000 0.000 6.504" Properties=species:S:1:pos:R:3 pbc="T T T"
K 0.000 0.000 0.000
Sc 0.000 2.434 3.252
Sc 2.434 0.000 3.252
Au 2.434 2.434 0.000
Cl 2.434 2.434 3.252
```


# 3
Computed, not measured: crystalline K2SmAuCl6 at its relaxed geometry at the PBE-GGA level of DFT.

**Formation energy from raw total energies**: -1.621 eV per atom
**D(E_F)**: 0.00 states/eV/f.u.

Cell and atoms, written as extended XYZ:
```
10
Lattice="0.000 5.420 5.420 5.420 0.000 5.420 5.420 5.420 0.000" Properties=species:S:1:pos:R:3 pbc="T T T"
K 2.710 2.710 2.710
K 8.129 8.129 8.129
Sm 0.000 0.000 0.000
Au 5.420 5.420 5.420
Cl 5.420 5.420 2.686
Cl 5.420 2.686 5.420
Cl 8.153 5.420 5.420
Cl 2.686 5.420 5.420
Cl 5.420 8.153 5.420
Cl 5.420 5.420 8.153
```


# 4
Computed, not measured: crystalline KSr2AuCl at its relaxed geometry at the PBE-GGA level of DFT.

**Formation energy from raw total energies**: -0.012 eV per atom
**D(E_F)**: 2.46 states/eV/f.u.

Cell and atoms, written as extended XYZ:
```
5
Lattice="6.868 0.000 0.000 0.000 6.868 0.000 0.000 0.000 5.315" Properties=species:S:1:pos:R:3 pbc="T T T"
K 0.000 0.000 0.000
Sr 0.000 3.434 0.000
Sr 3.434 0.000 0.000
Au 3.434 3.434 2.658
Cl 0.000 0.000 2.658
```


# 5
Computed, not measured: crystalline KSr2AuCl at its relaxed geometry at the PBE-GGA level of DFT.

**Formation energy from raw total energies**: -0.501 eV per atom
**D(E_F)**: 4.29 states/eV/f.u.

Cell and atoms, written as extended XYZ:
```
5
Lattice="5.704 0.000 0.000 0.000 5.704 0.000 0.000 0.000 6.644" Properties=species:S:1:pos:R:3 pbc="T T T"
K 0.000 0.000 0.000
Sr 0.000 2.852 3.322
Sr 2.852 0.000 3.322
Au 2.852 2.852 0.000
Cl 2.852 2.852 3.322
```


# 6
Computed, not measured: crystalline KTl2AuCl8 at its relaxed geometry at the PBE-GGA level of DFT.

**Formation energy from raw total energies**: -0.717 eV per atom

Cell and atoms, written as extended XYZ:
```
12
Lattice="3.305 1.908 10.045 -3.305 1.908 10.045 0.000 -3.817 10.045" Properties=species:S:1:pos:R:3 pbc="T T T"
K 0.000 0.000 0.000
Tl 0.000 0.000 7.501
Tl 0.000 0.000 22.635
Au 0.000 0.000 15.068
Cl -0.917 -1.912 13.275
Cl -1.197 -1.750 16.861
Cl 0.000 0.000 9.988
Cl -1.197 1.750 13.275
Cl -0.917 1.912 16.861
Cl 0.000 0.000 20.148
Cl 2.114 0.162 13.275
Cl 2.114 -0.162 16.861
```


# 7
Computed, not measured: crystalline KTlAuCl at its relaxed geometry at the PBE-GGA level of DFT.

**Formation energy from raw total energies**: -0.706 eV per atom

Cell and atoms, written as extended XYZ:
```
4
Lattice="0.000 3.867 3.867 3.867 0.000 3.867 3.867 3.867 0.000" Properties=species:S:1:pos:R:3 pbc="T T T"
K 0.000 0.000 0.000
Tl 3.867 3.867 3.867
Au 5.801 5.801 5.801
Cl 1.934 1.934 1.934
```


# 8
Computed, not measured: crystalline K2TlAuCl6 at its relaxed geometry at the PBE-GGA level of DFT.

**Formation energy from raw total energies**: -1.095 eV per atom

Cell and atoms, written as extended XYZ:
```
10
Lattice="7.038 0.000 0.000 -2.967 6.505 0.000 -3.052 -2.327 6.668" Properties=species:S:1:pos:R:3 pbc="T T T"
K -1.489 1.235 1.844
K 2.508 2.942 4.824
Tl 1.993 -1.164 3.334
Au 2.035 3.252 0.000
Cl -3.211 4.684 2.219
Cl 0.051 4.178 0.824
Cl -0.915 3.041 4.509
Cl 1.933 1.136 2.160
Cl 0.968 0.000 5.844
Cl 4.229 -0.507 4.449
```


# 9
Computed, not measured: crystalline KZr2AuCl at its relaxed geometry at the PBE-GGA level of DFT.

**Formation energy from raw total energies**: 0.492 eV per atom
**D(E_F)**: 10.16 states/eV/f.u.

Cell and atoms, written as extended XYZ:
```
5
Lattice="5.110 0.000 0.000 0.000 5.110 0.000 0.000 0.000 7.941" Properties=species:S:1:pos:R:3 pbc="T T T"
K 0.000 0.000 0.000
Zr 0.000 2.555 3.970
Zr 2.555 0.000 3.970
Au 2.555 2.555 3.970
Cl 2.555 2.555 0.000
```


# 10
Computed, not measured: crystalline LaAuCl2 at its relaxed geometry at the PBE-GGA level of DFT.

**Formation energy from raw total energies**: -1.280 eV per atom
**D(E_F)**: 0.44 states/eV/f.u.

Cell and atoms, written as extended XYZ:
```
4
Lattice="4.590 0.000 0.000 0.000 4.590 0.000 0.000 0.000 4.387" Properties=species:S:1:pos:R:3 pbc="T T T"
La 0.000 0.000 0.000
Au 2.295 2.295 0.000
Cl 0.000 2.295 2.193
Cl 2.295 0.000 2.193
```


# 11
Computed, not measured: crystalline La3AuCl at its relaxed geometry at the PBE-GGA level of DFT.

**Formation energy from raw total energies**: -0.581 eV per atom
**D(E_F)**: 3.62 states/eV/f.u.

Cell and atoms, written as extended XYZ:
```
5
Lattice="5.393 0.000 0.000 0.000 5.393 0.000 0.000 0.000 5.393" Properties=species:S:1:pos:R:3 pbc="T T T"
La 0.000 0.000 2.696
La 0.000 2.696 0.000
La 2.696 0.000 0.000
Au 2.696 2.696 2.696
Cl 0.000 0.000 0.000
```


# 12
Computed, not measured: crystalline LaAuCl4 at its relaxed geometry at the PBE-GGA level of DFT.

**Formation energy from raw total energies**: -1.604 eV per atom
**D(E_F)**: 0.00 states/eV/f.u.

Cell and atoms, written as extended XYZ:
```
12
Lattice="3.982 -9.399 0.000 3.982 9.399 0.000 -3.498 0.000 5.989" Properties=species:S:1:pos:R:3 pbc="T T T"
La 1.359 5.850 4.492
La 3.108 -5.850 1.497
Au 3.108 1.515 1.497
Au 1.359 -1.515 4.492
Cl -0.643 3.900 4.279
Cl 0.860 1.372 1.050
Cl -0.889 -1.372 4.045
Cl 1.106 -3.900 1.284
Cl 3.361 3.900 4.705
Cl 5.356 1.372 1.944
Cl 3.607 -1.372 4.939
Cl 5.110 -3.900 1.711
```


# 13
Computed, not measured: crystalline LaAuCl4 at its relaxed geometry at the PBE-GGA level of DFT.

**Formation energy from raw total energies**: -0.452 eV per atom
**D(E_F)**: 5.47 states/eV/f.u.

Cell and atoms, written as extended XYZ:
```
6
Lattice="0.000 4.121 4.121 4.121 0.000 4.121 4.121 4.121 0.000" Properties=species:S:1:pos:R:3 pbc="T T T"
La 0.000 0.000 0.000
Au 6.182 6.182 6.182
Cl 3.092 3.092 3.092
Cl 5.150 5.150 3.092
Cl 5.150 3.092 5.150
Cl 3.092 5.150 5.150
```


# 14
Computed, not measured: crystalline LaAuCl2 at its relaxed geometry at the PBE-GGA level of DFT.

**Formation energy from raw total energies**: -1.456 eV per atom

Cell and atoms, written as extended XYZ:
```
4
Lattice="-1.941 2.668 6.486 1.941 -2.668 6.486 1.941 2.668 -6.486" Properties=species:S:1:pos:R:3 pbc="T T T"
La 0.000 0.000 0.000
Au 0.000 0.000 6.486
Cl 1.941 0.000 2.033
Cl 0.000 2.668 4.453
```


# 15
Computed, not measured: crystalline LaAuCl2 at its relaxed geometry at the PBE-GGA level of DFT.

**Formation energy from raw total energies**: -1.543 eV per atom
**D(E_F)**: 0.00 states/eV/f.u.

Cell and atoms, written as extended XYZ:
```
4
Lattice="5.169 -1.998 0.000 5.169 1.998 0.000 -3.385 0.000 6.524" Properties=species:S:1:pos:R:3 pbc="T T T"
La 0.000 0.000 0.000
Au 5.956 0.000 2.078
Cl 3.041 0.000 0.058
Cl 2.508 0.000 4.655
```


# 16
Computed, not measured: crystalline LaAuCl3 at its relaxed geometry at the PBE-GGA level of DFT.

**Formation energy from raw total energies**: -0.679 eV per atom
**D(E_F)**: 16.89 states/eV/f.u.

Cell and atoms, written as extended XYZ:
```
5
Lattice="5.155 0.000 0.000 0.000 5.155 0.000 0.000 0.000 5.155" Properties=species:S:1:pos:R:3 pbc="T T T"
La 0.000 0.000 0.000
Au 2.578 2.578 2.578
Cl 0.000 2.578 2.578
Cl 2.578 0.000 2.578
Cl 2.578 2.578 0.000
```


# 17
Computed, not measured: crystalline LaAuCl2 at its relaxed geometry at the PBE-GGA level of DFT.

**Formation energy from raw total energies**: -1.212 eV per atom
**D(E_F)**: 0.00 states/eV/f.u.

Cell and atoms, written as extended XYZ:
```
8
Lattice="-2.407 2.407 9.545 2.407 -2.407 9.545 2.407 2.407 -9.545" Properties=species:S:1:pos:R:3 pbc="T T T"
La 0.000 0.000 0.000
La 0.000 2.407 4.773
Au 2.407 0.000 4.773
Au 0.000 0.000 9.545
Cl 3.611 1.027 -2.386
Cl 1.027 1.204 2.386
Cl -1.204 1.380 7.159
Cl 1.380 1.204 11.932
```


# 18
Computed, not measured: crystalline LaAuCl2 at its relaxed geometry at the PBE-GGA level of DFT.

**Formation energy from raw total energies**: -1.345 eV per atom
**D(E_F)**: 0.00 states/eV/f.u.

Cell and atoms, written as extended XYZ:
```
4
Lattice="0.000 3.593 3.593 3.593 0.000 3.593 3.593 3.593 0.000" Properties=species:S:1:pos:R:3 pbc="T T T"
La 0.000 0.000 0.000
Au 3.593 3.593 3.593
Cl 1.797 1.797 1.797
Cl 5.390 5.390 5.390
```


# 19
Computed, not measured: crystalline LaAuCl2 at its relaxed geometry at the PBE-GGA level of DFT.

**Formation energy from raw total energies**: -1.385 eV per atom
**D(E_F)**: 0.00 states/eV/f.u.

Cell and atoms, written as extended XYZ:
```
4
Lattice="-2.328 2.328 4.300 2.328 -2.328 4.300 2.328 2.328 -4.300" Properties=species:S:1:pos:R:3 pbc="T T T"
La 0.000 0.000 0.000
Au 2.328 0.000 2.150
Cl 0.000 0.000 4.300
Cl 0.000 2.328 2.150
```


# 20
Computed, not measured: crystalline La2Au2Cl at its relaxed geometry at the PBE-GGA level of DFT.

**Formation energy from raw total energies**: -0.738 eV per atom
**D(E_F)**: 6.44 states/eV/f.u.

Cell and atoms, written as extended XYZ:
```
5
Lattice="-2.786 2.786 4.968 2.786 -2.786 4.968 2.786 2.786 -4.968" Properties=species:S:1:pos:R:3 pbc="T T T"
La 2.786 0.000 2.484
La 0.000 2.786 2.484
Au 0.000 0.000 1.325
Au 0.000 0.000 8.611
Cl 0.000 0.000 4.968
```


# 21
Computed, not measured: crystalline LaAuCl2 at its relaxed geometry at the PBE-GGA level of DFT.

**Formation energy from raw total energies**: -1.027 eV per atom
**D(E_F)**: 2.62 states/eV/f.u.

Cell and atoms, written as extended XYZ:
```
4
Lattice="1.871 1.080 10.114 -1.871 1.080 10.114 0.000 -2.160 10.114" Properties=species:S:1:pos:R:3 pbc="T T T"
La 0.000 0.000 0.000
Au 0.000 0.000 15.172
Cl 0.000 0.000 11.986
Cl 0.000 0.000 18.358
```


# 22
Computed, not measured: crystalline LaAuCl3 at its relaxed geometry at the PBE-GGA level of DFT.

**Formation energy from raw total energies**: -1.301 eV per atom
**D(E_F)**: 2.62 states/eV/f.u.

Cell and atoms, written as extended XYZ:
```
5
Lattice="5.576 0.000 0.000 0.000 5.576 0.000 0.000 0.000 5.576" Properties=species:S:1:pos:R:3 pbc="T T T"
La 0.000 0.000 0.000
Au 2.788 2.788 2.788
Cl 0.000 0.000 2.788
Cl 0.000 2.788 0.000
Cl 2.788 0.000 0.000
```


# 23
Computed, not measured: crystalline LaAuCl2 at its relaxed geometry at the PBE-GGA level of DFT.

**Formation energy from raw total energies**: -0.506 eV per atom
**D(E_F)**: 1.96 states/eV/f.u.

Cell and atoms, written as extended XYZ:
```
4
Lattice="2.031 1.173 8.514 -2.031 1.173 8.514 0.000 -2.345 8.514" Properties=species:S:1:pos:R:3 pbc="T T T"
La 0.000 0.000 0.000
Au 0.000 0.000 12.771
Cl 0.000 0.000 2.765
Cl 0.000 0.000 22.777
```


# 24
Computed, not measured: crystalline La3AuCl at its relaxed geometry at the PBE-GGA level of DFT.

**Formation energy from raw total energies**: -0.914 eV per atom
**D(E_F)**: 5.59 states/eV/f.u.

Cell and atoms, written as extended XYZ:
```
20
Lattice="9.420 0.000 0.000 0.000 4.046 0.000 0.000 0.000 15.903" Properties=species:S:1:pos:R:3 pbc="T T T"
La 0.143 1.012 1.642
La 1.436 1.012 8.845
La 1.587 3.035 4.527
La 3.123 1.012 12.479
La 3.274 3.035 0.893
La 4.567 3.035 9.594
La 4.853 1.012 6.309
La 6.146 1.012 15.010
La 6.297 3.035 3.424
La 7.833 1.012 11.376
La 7.984 3.035 7.059
La 9.277 3.035 14.261
Au 0.978 3.035 11.148
Au 3.732 1.012 3.197
Au 5.688 3.035 12.707
Au 8.442 1.012 4.755
Cl 1.870 1.012 15.110
Cl 2.841 3.035 7.159
Cl 6.580 1.012 8.745
Cl 7.551 3.035 0.793
```


# 25
Computed, not measured: crystalline La7AuCl12 at its relaxed geometry at the PBE-GGA level of DFT.

**Formation energy from raw total energies**: -1.982 eV per atom
**D(E_F)**: 10.71 states/eV/f.u.

Cell and atoms, written as extended XYZ:
```
20
Lattice="7.849 4.531 3.038 -7.849 4.531 3.038 0.000 -9.063 3.038" Properties=species:S:1:pos:R:3 pbc="T T T"
La 0.000 0.000 0.000
La -2.398 -0.512 2.825
La 1.643 -1.821 2.825
La 0.756 2.333 2.825
La -0.756 -2.333 6.289
La -1.643 1.821 6.289
La 2.398 0.512 6.289
Au 0.000 0.000 4.557
Cl -0.789 -2.476 1.401
Cl -1.750 1.921 1.401
Cl -3.003 -2.838 4.514
Cl -3.960 1.182 4.601
Cl 2.539 0.555 1.401
Cl 0.956 -4.020 4.601
Cl -0.956 4.020 4.514
Cl -2.539 -0.555 7.713
Cl 3.960 -1.182 4.514
Cl 3.003 2.838 4.601
Cl 1.750 -1.921 7.713
Cl 0.789 2.476 7.713
```